The following is a PBE-GGA calculation of an optimized crystal structure of TbPr3Tm3Te8, from Alexandria. Values from VASP.

```
&SYSTEM
  ibrav = 0, nat = 15, ntyp = 4
/
ATOMIC_SPECIES
Tb 158.93 Tb.upf
Pr 140.91 Pr.upf
Tm 168.93 Tm.upf
Te 127.60 Te.upf
ATOMIC_POSITIONS crystal
Tb 0.000 0.000 0.000
Pr 0.000 0.000 0.500
Pr 0.000 0.500 0.000
Pr 0.500 0.000 0.000
Tm 0.000 0.500 0.500
Tm 0.500 0.000 0.500
Tm 0.500 0.500 0.000
Te 0.253 0.253 0.734
Te 0.253 0.734 0.253
Te 0.256 0.256 0.256
Te 0.266 0.747 0.747
Te 0.734 0.253 0.253
Te 0.744 0.744 0.744
Te 0.747 0.266 0.747
Te 0.747 0.747 0.266
CELL_PARAMETERS angstrom
4.381 2.529 7.247
-4.381 2.529 7.247
0.000 -5.059 7.247
```

Calculated values
The density of states at the Fermi level is 6.87 states/eV per cell. Its total energy is -78.2 eV for the cell shown. Its formation energy without anion corrections is -20.71 eV per formula unit.



The following is a PBE-GGA calculation of an optimized crystal structure of Tb2Pr3TmTe6, from Alexandria. Values from VASP.

```
&SYSTEM
  ibrav = 0, nat = 12, ntyp = 4
/
ATOMIC_SPECIES
Tb 158.93 Tb.upf
Pr 140.91 Pr.upf
Tm 168.93 Tm.upf
Te 127.60 Te.upf
ATOMIC_POSITIONS crystal
Tb 0.168 0.168 0.336
Tb 0.832 0.832 0.664
Pr 0.169 0.169 0.834
Pr 0.500 0.500 0.500
Pr 0.831 0.831 0.166
Tm 0.500 0.500 0.000
Te 0.002 0.002 0.238
Te 0.331 0.331 0.424
Te 0.339 0.339 0.910
Te 0.661 0.661 0.090
Te 0.669 0.669 0.576
Te 0.998 0.998 0.762
CELL_PARAMETERS angstrom
9.754 -2.190 0.000
9.754 2.190 0.000
-2.353 0.000 8.698
```

Calculated values
The density of states at the Fermi level is 5.98 states/eV per cell. Its total energy is -63.2 eV for the cell shown. Its formation energy without anion corrections is -16.30 eV per formula unit.



- Look up the formation energy without anion corrections of the first one.
  -20.71 eV per formula unit



- Among the records above, which one has the lowest formation energy without anion corrections?
  TbPr3Tm3Te8



- Number 1 is which compound?
  TbPr3Tm3Te8